Compound: Tl2WCl
Source: Alexandria
Functional: GGA-PBE
Structure: optimized geometry

Values from the calculation:
total DFT energy (no corrections) = -3.838 eV/atom
density = 11.01 Mg/m³
ΔE_f (raw) = 1.045 eV per atom
total magnetization = 3.1 μB per formula unit
space-group type = F-43m

a = 5.1168 Å, b = 5.1168 Å, c = 5.1168 Å
α = 60.00°, β = 60.00°, γ = 60.00°
Atoms (fractional coordinates):
Tl (0.2500, 0.2500, 0.2500)
W (0.7500, 0.7500, 0.7500)
Cl (0.5000, 0.5000, 0.5000)
Tl (0.0000, 0.0000, 0.0000)